1.
5
Lattice="-4.7292 1.7617 -1.7110 -2.2101 -4.8368 1.1284 -1.1566 1.6773 4.9240" Properties=species:S:1:pos:R:3 comment="Ca2ZrTaIn PBE relaxed" total_energy_ev_per_atom=-4.15 sg="P4/mmm, No. 123" vol_a3_per_atom=30.87 magnetic_moment_mub_per_fu=0.00 pbc="T T T"
In -1.1050 -2.4184 0.5642
Zr -4.0480 -0.6989 2.1707
Ca -0.5783 0.8386 2.4620
Ca -2.3646 0.8809 -0.8555
Ta 0.0000 0.0000 0.0000


2.
5
Lattice="5.8389 0.0000 0.0000 0.0000 5.8389 0.0000 0.0000 0.0000 5.8389" Properties=species:S:1:pos:R:3 comment="LaAl3Hg PBE relaxed" total_energy_ev_per_atom=-2.14 sg="Pm-3m, No. 221" vol_a3_per_atom=39.81 magnetic_moment_mub_per_fu=0.00 pbc="T T T"
Al 0.0000 2.9194 0.0000
Al 0.0000 0.0000 2.9194
La 0.0000 0.0000 0.0000
Al 2.9194 0.0000 0.0000
Hg 2.9194 2.9194 2.9194


3.
4
Lattice="5.0538 0.0000 0.0000 2.5269 4.3767 0.0000 2.5269 1.4589 4.1264" Properties=species:S:1:pos:R:3 comment="CaPaGe2 PBE relaxed" total_energy_ev_per_atom=-5.51 sg="Fm-3m, No. 225" vol_a3_per_atom=22.82 magnetic_moment_mub_per_fu=0.00 pbc="T T T"
Ca 5.0538 2.9178 2.0632
Pa 0.0000 0.0000 0.0000
Ge 2.5269 1.4589 1.0316
Ge 7.5807 4.3767 3.0948


4.
8
Lattice="-4.9208 1.7144 -0.8832 -4.1258 -3.0775 1.1998 -3.2988 3.6370 9.6256" Properties=species:S:1:pos:R:3 comment="LaCe2DyPb4 PBE relaxed" total_energy_ev_per_atom=-4.93 sg="R-3m, No. 166" vol_a3_per_atom=31.34 magnetic_moment_mub_per_fu=1.96 pbc="T T T"
La 0.0000 0.0000 0.0000
Pb -6.0693 -0.3563 1.4967
Pb -6.2761 2.6301 8.4456
Ce -9.2550 1.6466 7.3198
Ce -3.0904 0.6273 2.6224
Pb -3.1907 2.0760 5.9934
Pb -9.1547 0.1978 3.9488
Dy -6.1727 1.1369 4.9711


5.
5
Lattice="-1.1713 -1.4149 4.2907 -4.2131 -1.2584 -1.5651 -0.7279 -6.4733 0.2052" Properties=species:S:1:pos:R:3 comment="Si2AgBr2 PBE relaxed" sg="I4/mmm, No. 139" vol_a3_per_atom=24.48 magnetic_moment_mub_per_fu=0.00 e_form_raw_ev_per_fu=3.230 pbc="T T T"
Br -3.8166 -4.5342 0.0015
Si -3.8459 -6.6964 1.8189
Br -2.2957 -4.6124 2.9293
Si -2.2664 -2.4502 1.1118
Ag 0.0000 0.0000 0.0000


6.
4
Lattice="5.0903 0.0000 0.0000 2.5452 4.4084 0.0000 2.5452 1.4695 4.1562" Properties=species:S:1:pos:R:3 comment="EuAgHgAs PBE relaxed" total_energy_ev_per_atom=-4.97 sg="F-43m, No. 216" vol_a3_per_atom=23.32 magnetic_moment_mub_per_fu=6.97 pbc="T T T"
Ag 2.5452 1.4695 1.0391
Hg 0.0000 0.0000 0.0000
Eu 7.6355 4.4084 3.1172
As 5.0903 2.9389 2.0781


7.
9
Lattice="-5.2996 2.2497 3.1795 -4.9743 -3.1901 0.7304 -0.8961 -0.7941 5.8327" Properties=species:S:1:pos:R:3 comment="CsH6Se2 PBE relaxed" total_energy_ev_per_atom=-3.16 sg="C2/m, No. 12" vol_a3_per_atom=18.09 magnetic_moment_mub_per_fu=0.00 pbc="T T T"
H -5.3630 -0.7368 5.1491
Se -2.8144 -0.5788 2.5213
Se -8.3557 -1.1556 7.2213
Cs -5.2996 2.2497 3.1795
H -7.1033 -2.3311 3.3767
H -4.0667 0.5966 6.3659
H -5.8070 -0.9976 4.5936
H -4.1840 -0.6160 7.0291
H -6.9860 -1.1185 2.7136


8.
4
Lattice="4.4026 0.0000 0.0000 2.2013 3.8127 0.0000 2.2013 1.2709 3.5947" Properties=species:S:1:pos:R:3 comment="Mn2ZnSb PBE relaxed" sg="F-43m, No. 216" vol_a3_per_atom=15.08 magnetic_moment_mub_per_fu=2.69 e_form_raw_ev_per_fu=1.482 pbc="T T T"
Sb 4.4026 2.5418 1.7973
Zn 6.6038 3.8127 2.6960
Mn 0.0000 0.0000 0.0000
Mn 2.2013 1.2709 0.8987


9.
5
Lattice="5.5120 0.0000 0.0000 0.0000 6.5588 0.0000 0.0000 0.0000 5.5120" Properties=species:S:1:pos:R:3 comment="Mn2SnWI PBE relaxed" sg="P4/mmm, No. 123" vol_a3_per_atom=39.85 magnetic_moment_mub_per_fu=3.58 e_form_raw_ev_per_fu=10.418 pbc="T T T"
Sn 0.0000 0.0000 0.0000
Mn 2.7560 0.0000 0.0000
Mn 0.0000 0.0000 2.7560
W 2.7560 3.2794 2.7560
I 0.0000 3.2794 0.0000


10.
4
Lattice="-1.9310 5.3782 -0.7214 -2.3922 2.8177 4.4172 2.7804 4.4107 2.4473" Properties=species:S:1:pos:R:3 comment="LiAcPmGd PBE relaxed" total_energy_ev_per_atom=-5.98 sg="F-43m, No. 216" vol_a3_per_atom=33.78 magnetic_moment_mub_per_fu=7.55 pbc="T T T"
Pm -0.3857 3.1517 1.5358
Ac -0.7714 6.3033 3.0715
Gd -1.1571 9.4550 4.6073
Li 0.0000 0.0000 0.0000


11.
5
Lattice="-3.3744 1.1611 -3.0521 -3.1260 0.1205 3.5020 0.9442 4.5484 0.6863" Properties=species:S:1:pos:R:3 comment="LaBF3 PBE relaxed" sg="Pm-3m, No. 221" vol_a3_per_atom=20.71 magnetic_moment_mub_per_fu=1.00 e_form_raw_ev_per_fu=-10.239 pbc="T T T"
B -2.7781 2.9150 0.5681
F -1.5630 0.0603 1.7510
La 0.0000 0.0000 0.0000
F 0.4721 2.2742 0.3432
F -1.6872 0.5805 -1.5261


12.
4
Lattice="-1.0834 2.9716 -3.1809 -1.7632 -3.7465 -2.8993 -4.5773 0.5500 2.0729" Properties=species:S:1:pos:R:3 comment="SmHoPb2 PBE relaxed" total_energy_ev_per_atom=-4.63 sg="P4/mmm, No. 123" vol_a3_per_atom=28.65 magnetic_moment_mub_per_fu=0.00 pbc="T T T"
Sm -0.5417 1.4858 -1.5905
Ho -3.7119 -0.1124 -2.0037
Pb -0.8816 -1.8732 -1.4497
Pb -2.2886 0.2750 1.0364


Please write out number 8 again, unchanged.
4
Lattice="4.4026 0.0000 0.0000 2.2013 3.8127 0.0000 2.2013 1.2709 3.5947" Properties=species:S:1:pos:R:3 comment="Mn2ZnSb PBE relaxed" sg="F-43m, No. 216" vol_a3_per_atom=15.08 magnetic_moment_mub_per_fu=2.69 e_form_raw_ev_per_fu=1.482 pbc="T T T"
Sb 4.4026 2.5418 1.7973
Zn 6.6038 3.8127 2.6960
Mn 0.0000 0.0000 0.0000
Mn 2.2013 1.2709 0.8987